Entry 1:
This record from Alexandria via LeMat-Bulk describes crystalline NiMo at its relaxed geometry. The functional is PBE.

Results
Energy relative to the elements in eV/atom: 1.477

Cell lengths 3.7694, 3.7694, 3.7694 Å; angles 60.00, 60.00, 60.00 degrees
Atoms (fractional coordinates):
Ni1 0.7500 0.7500 0.7500
Mo1 0.0000 0.0000 0.0000

Entry 2:
This record from Alexandria via LeMat-Bulk describes crystalline Ni7Mo at its relaxed geometry. The functional is PBE.

Results
Energy relative to the elements in eV/atom: -0.001

Cell lengths 4.1090, 5.0664, 5.0664 Å; angles 120.00, 90.00, 90.00 degrees
Atoms (fractional coordinates):
Ni1 0.5000 0.8309 0.6619
Ni2 0.5000 0.3333 0.6667
Ni3 0.5000 0.8309 0.1691
Ni4 0.0000 0.4990 0.5010
Ni5 0.0000 0.4990 0.9980
Ni6 0.5000 0.3382 0.1691
Ni7 0.0000 0.0020 0.5010
Mo1 0.0000 0.0000 0.0000